(1)
Below is a relaxed structure of CaRhSe2, with properties calculated at the PBE-GGA level.

**Energy above the lowest structure with this stoichiometry**: 0.0686 eV per atom
**Formation energy (no corrections)**: -0.84 eV per atom
**Space-group type**: No. 71
**Density of states at the Fermi level**: 3.39 states/eV per cell
**Final energy**: -4.924 eV/atom

Cell and atoms, written as POSCAR:
```
CaRhSe2
1.0
-2.384 -0.509 4.616
2.981 -3.918 1.737
0.689 5.002 -1.326
Ca Se Rh
1 2 1
Cartesian
-0.698 1.140 3.233
0.268 -1.986 2.850
0.031 -0.228 0.327
1.984 -0.565 1.793
```

***

(2)
Below is a relaxed structure of TaMo2S6, with properties calculated at the PBE-GGA level.

**Formation energy (no corrections)**: -0.81 eV per atom
**Space-group type**: No. 12
**Density of states at the Fermi level**: 1.31 states/eV per cell
**Final energy**: -7.290 eV/atom

Cell and atoms, written as POSCAR:
```
TaMo2S6
1.0
-2.934 -1.374 0.553
4.343 -5.710 -0.907
-0.822 5.357 8.939
S Mo Ta
6 2 1
Cartesian
-1.061 0.512 5.404
-0.561 -2.418 0.782
-0.480 3.724 6.700
1.648 -2.239 3.181
1.067 -5.451 1.885
1.148 0.691 7.804
1.690 -3.289 0.793
-1.102 1.563 7.793
-0.411 2.679 4.469
```

***

(3)
Below is a relaxed structure of LiC2I2, with properties calculated at the PBE-GGA level.

**Energy above the lowest structure with this stoichiometry**: 0.6763 eV per atom
**Formation energy (no corrections)**: 1.71 eV per atom
**Space-group type**: No. 127
**Density of states at the Fermi level**: 2.45 states/eV per cell
**Final energy**: -2.982 eV/atom

Cell and atoms, written as POSCAR:
```
LiC2I2
1.0
-4.093 -1.106 5.992
-2.390 -6.348 -2.804
2.661 -1.668 1.509
I C Li
4 4 2
Cartesian
-0.412 -2.324 2.179
-1.023 -5.340 -0.078
-2.799 -3.783 4.775
-3.410 -6.799 2.518
-3.246 -1.932 3.586
-3.236 -5.522 -0.398
-4.972 -5.250 2.962
-1.510 -2.204 0.225
-3.241 -3.727 1.594
0.000 0.000 0.000
```